# BeCuP GGA-PBEsol relaxed
data_BeCuP
_symmetry_space_group_name_H-M 'P 1'
_symmetry_Int_Tables_number 1
_cell_length_a 4.035
_cell_length_b 4.035
_cell_length_c 2.549
_cell_angle_alpha 90.00
_cell_angle_beta 90.00
_cell_angle_gamma 120.00
loop_
_symmetry_equiv_pos_as_xyz
'x,y,z'
loop_
_atom_site_label
_atom_site_fract_x
_atom_site_fract_y
_atom_site_fract_z
Be1 0.000 0.000 0.000
Cu1 0.333 0.667 0.000
P1 0.667 0.333 0.000
# - SG: P-6m2, No. 187
# - Calculated density: 4.783 g/cm³
# - DOS at the Fermi energy: 0.948 states/eV per cell
# - E: -4.479 eV/atom